Entry 1:
# PBE Pm2Tc2C3, optimized geometry
# Formation enthalpy at 0 K: -0.2471 eV/atom
# Total moment: 0.000 μB/atom
data_Pm2Tc2C3
_chemical_formula_sum 'Pm2 Tc2 C3'
_symmetry_space_group_name_H-M 'P 1'
_symmetry_Int_Tables_number 1
_cell_length_a 3.409
_cell_length_b 5.830
_cell_length_c 6.226
_cell_angle_alpha 114.96
_cell_angle_beta 105.89
_cell_angle_gamma 90.00
loop_
_symmetry_equiv_pos_as_xyz
'x,y,z'
loop_
_atom_site_label
_atom_site_type_symbol
_atom_site_fract_x
_atom_site_fract_y
_atom_site_fract_z
Pm1 Pm 0.393 0.185 0.787
Pm2 Pm 0.607 0.815 0.213
Tc1 Tc 0.161 0.319 0.321
Tc2 Tc 0.839 0.681 0.679
C1 C 0.000 0.000 0.000
C2 C 0.250 0.724 0.500
C3 C 0.750 0.276 0.500

---

Entry 2:
# PBE Pm5TeC, optimized geometry
# Total moment: 0.000 μB/atom
# Energy relative to the elements, uncorrected: -292 meV/atom
data_Pm5TeC
_chemical_formula_sum 'Pm10 Te2 C2'
_symmetry_space_group_name_H-M 'P 1'
_symmetry_Int_Tables_number 1
_cell_length_a 7.305
_cell_length_b 7.305
_cell_length_c 9.844
_cell_angle_alpha 70.38
_cell_angle_beta 70.38
_cell_angle_gamma 69.35
loop_
_symmetry_equiv_pos_as_xyz
'x,y,z'
loop_
_atom_site_label
_atom_site_type_symbol
_atom_site_fract_x
_atom_site_fract_y
_atom_site_fract_z
Pm1 Pm 0.871 0.695 0.141
Pm2 Pm 0.208 0.643 0.475
Pm3 Pm 0.695 0.871 0.641
Pm4 Pm 0.943 0.057 0.250
Pm5 Pm 0.357 0.792 0.025
Pm6 Pm 0.643 0.208 0.975
Pm7 Pm 0.057 0.943 0.750
Pm8 Pm 0.305 0.129 0.359
Pm9 Pm 0.792 0.357 0.525
Pm10 Pm 0.129 0.305 0.859
Te1 Te 0.577 0.423 0.250
Te2 Te 0.423 0.577 0.750
C1 C 0.000 0.000 0.000
C2 C 0.000 0.000 0.500

---

Entry 3:
# PBE Pm4Te2C, optimized geometry
# ΔE to the lowest computed polymorph: 0 kJ/mol of formula units
# Total moment: 0.174 μB/atom
# Energy relative to the elements, uncorrected: -772 meV/atom
data_Pm4Te2C
_chemical_formula_sum 'Pm4 Te2 C1'
_symmetry_space_group_name_H-M 'P 1'
_symmetry_Int_Tables_number 1
_cell_length_a 3.990
_cell_length_b 7.141
_cell_length_c 8.255
_cell_angle_alpha 115.49
_cell_angle_beta 103.99
_cell_angle_gamma 90.00
loop_
_symmetry_equiv_pos_as_xyz
'x,y,z'
loop_
_atom_site_label
_atom_site_type_symbol
_atom_site_fract_x
_atom_site_fract_y
_atom_site_fract_z
Pm1 Pm 0.896 0.188 0.792
Pm2 Pm 0.104 0.812 0.208
Pm3 Pm 0.598 0.243 0.196
Pm4 Pm 0.402 0.757 0.804
Te1 Te 0.739 0.731 0.478
Te2 Te 0.261 0.269 0.522
C1 C 0.000 0.000 0.000

---

Entry 4:
# PBE Pm6Te2C, optimized geometry
# ΔE to the lowest computed polymorph: 139 kJ/mol of formula units
# Total moment: 0.000 μB/atom
# Energy relative to the elements, uncorrected: -499 meV/atom
data_Pm6Te2C
_chemical_formula_sum 'Pm12 Te4 C2'
_symmetry_space_group_name_H-M 'P 1'
_symmetry_Int_Tables_number 1
_cell_length_a 6.833
_cell_length_b 6.833
_cell_length_c 12.864
_cell_angle_alpha 90.00
_cell_angle_beta 90.00
_cell_angle_gamma 90.00
loop_
_symmetry_equiv_pos_as_xyz
'x,y,z'
loop_
_atom_site_label
_atom_site_type_symbol
_atom_site_fract_x
_atom_site_fract_y
_atom_site_fract_z
Pm1 Pm 0.313 0.313 0.357
Pm2 Pm 0.687 0.687 0.357
Pm3 Pm 0.187 0.813 0.857
Pm4 Pm 0.813 0.187 0.857
Pm5 Pm 0.187 0.813 0.143
Pm6 Pm 0.813 0.187 0.143
Pm7 Pm 0.313 0.313 0.643
Pm8 Pm 0.687 0.687 0.643
Pm9 Pm 0.262 0.262 0.000
Pm10 Pm 0.738 0.738 0.000
Pm11 Pm 0.238 0.762 0.500
Pm12 Pm 0.762 0.238 0.500
Te1 Te 0.000 0.000 0.335
Te2 Te 0.500 0.500 0.835
Te3 Te 0.500 0.500 0.165
Te4 Te 0.000 0.000 0.665
C1 C 0.000 0.000 0.000
C2 C 0.500 0.500 0.500